1.
# Ni2SbTe | Alexandria via LeMat-Bulk | GGA-PBE | relaxed
# VASP energy = -19.73 eV/cell
# calculated volume = 72.33 Å³ per cell
data_Ni2SbTe
_symmetry_space_group_name_H-M 'P -6 m 2'
_symmetry_Int_Tables_number 187
_symmetry_space_group_name_Hall 'P -6 2'
_cell_length_a 4.0006
_cell_length_b 4.0006
_cell_length_c 5.2180
_cell_angle_alpha 90.00
_cell_angle_beta 90.00
_cell_angle_gamma 120.00
loop_
_atom_site_label
_atom_site_type_symbol
_atom_site_fract_x
_atom_site_fract_y
_atom_site_fract_z
Ni1 Ni 0.0000 0.0000 0.2472
Sb1 Sb 0.6667 0.3333 0.0000
Te1 Te 0.3333 0.6667 0.5000

***

2.
# Ni2SbTe3 | Alexandria via LeMat-Bulk | GGA-PBE | relaxed
# VASP energy = -105.18 eV/cell
# calculated volume = 545.66 Å³ per cell
data_Ni2SbTe3
_symmetry_space_group_name_H-M 'C 1 2/m 1'
_symmetry_Int_Tables_number 12
_cell_length_a 13.4186
_cell_length_b 7.7536
_cell_length_c 5.2465
_cell_angle_alpha 90.00
_cell_angle_beta 91.57
_cell_angle_gamma 90.00
loop_
_symmetry_equiv_pos_as_xyz
'x,y,z'
'-x,-y,-z'
'-x,y,-z'
'x,-y,z'
'x+1/2,y+1/2,z'
'-x+1/2,-y+1/2,-z'
'-x+1/2,y+1/2,-z'
'x+1/2,-y+1/2,z'
loop_
_atom_site_label
_atom_site_type_symbol
_atom_site_fract_x
_atom_site_fract_y
_atom_site_fract_z
Ni1 Ni 0.0000 0.0000 0.0000
Ni2 Ni 0.0000 0.5000 0.0000
Ni3 Ni 0.2500 0.2500 0.0000
Sb1 Sb 0.1698 0.0000 0.2594
Te1 Te 0.0827 0.2447 0.7555
Te2 Te 0.1734 0.5000 0.2451

***

3.
# NiSbTe2 | Alexandria via LeMat-Bulk | GGA-PBE | relaxed
# VASP energy = -15.14 eV/cell
# calculated volume = 96.27 Å³ per cell
data_NiSbTe2
_symmetry_space_group_name_H-M 'P 4/m m m'
_symmetry_Int_Tables_number 123
_symmetry_space_group_name_Hall '-P 4 2'
_cell_length_a 3.1898
_cell_length_b 3.1898
_cell_length_c 9.4617
_cell_angle_alpha 90.00
_cell_angle_beta 90.00
_cell_angle_gamma 90.00
loop_
_atom_site_label
_atom_site_type_symbol
_atom_site_fract_x
_atom_site_fract_y
_atom_site_fract_z
Ni1 Ni 0.0000 0.0000 0.0000
Sb1 Sb 0.0000 0.0000 0.5000
Te1 Te 0.5000 0.5000 0.1782

***

4.
# NiSbTe2 | Alexandria via LeMat-Bulk | GGA-PBE | relaxed
# VASP energy = -28.16 eV/cell
# calculated volume = 196.47 Å³ per cell
data_NiSbTe2
_symmetry_space_group_name_H-M 'I -4 m 2'
_symmetry_Int_Tables_number 119
_symmetry_space_group_name_Hall 'I -4 -2'
_cell_length_a 4.2284
_cell_length_b 4.2284
_cell_length_c 10.9887
_cell_angle_alpha 90.00
_cell_angle_beta 90.00
_cell_angle_gamma 90.00
loop_
_atom_site_label
_atom_site_type_symbol
_atom_site_fract_x
_atom_site_fract_y
_atom_site_fract_z
Ni1 Ni 0.0000 0.0000 0.0000
Sb1 Sb 0.0000 0.5000 0.7500
Te1 Te 0.0000 0.0000 0.5000
Te2 Te 0.0000 0.5000 0.2500

***

> Which of these has the highest VASP energy?

number 3

***

> VASP energy of number 1 (Ni2SbTe)?

-19.73 eV/cell

***

> Which value of VASP energy does entry 2 give?

-105.18 eV/cell

***

> Among the records above, which one has the lowest calculated volume?

Ni2SbTe